SrMgB (PBE, optimized geometry); crystal system = hexagonal; DFT formation energy = 0.1333 eV per atom; energy above the lowest structure with this stoichiometry = 0.015 eV/atom
1.0
4.036 0.000 0.000
-2.018 3.495 0.000
0.000 0.000 11.284
Sr Mg B
2 2 2
direct
0.000 0.000 0.229 Sr
0.000 0.000 0.771 Sr
0.333 0.667 0.000 Mg
0.333 0.667 0.500 Mg
0.667 0.333 0.069 B
0.667 0.333 0.931 B

La11Tl9Cu4 (PBE, optimized geometry); crystal system = orthorhombic; DFT formation energy = -0.3605 eV per atom
1.0
7.631 -11.509 0.000
7.631 11.509 0.000
0.000 0.000 3.919
La Tl Cu
11 9 4
direct
0.000 0.000 0.000 La
0.071 0.414 0.000 La
0.164 0.836 0.000 La
0.308 0.308 0.000 La
0.373 0.627 0.000 La
0.414 0.071 0.000 La
0.586 0.929 0.000 La
0.627 0.373 0.000 La
0.692 0.692 0.000 La
0.836 0.164 0.000 La
0.929 0.586 0.000 La
0.075 0.219 0.500 Tl
0.159 0.630 0.500 Tl
0.219 0.075 0.500 Tl
0.370 0.841 0.500 Tl
0.500 0.500 0.500 Tl
0.630 0.159 0.500 Tl
0.781 0.925 0.500 Tl
0.841 0.370 0.500 Tl
0.925 0.781 0.500 Tl
0.249 0.449 0.500 Cu
0.449 0.249 0.500 Cu
0.551 0.751 0.500 Cu
0.751 0.551 0.500 Cu

LiPt2Au2 (PBE, optimized geometry); crystal system = tetragonal; DFT formation energy = 0.1398 eV per atom; energy above the lowest structure with this stoichiometry = 0.211 eV/atom
1.0
-1.967 1.967 6.324
1.967 -1.967 6.324
1.967 1.967 -6.324
Li Pt Au
1 2 2
direct
0.000 0.000 0.000 Li
0.403 0.403 0.000 Pt
0.597 0.597 0.000 Pt
0.250 0.750 0.500 Au
0.750 0.250 0.500 Au

LiCa2S (PBE, optimized geometry); raw formation energy = -0.822 eV per atom; crystal system = trigonal
1.0
1.920 1.108 9.984
-1.920 1.108 9.984
0.000 -2.217 9.984
Li Ca S
1 2 1
direct
0.000 0.000 0.000 Li
0.110 0.110 0.110 Ca
0.890 0.890 0.890 Ca
0.500 0.500 0.500 S

Tl2PtCl (PBE, optimized geometry); raw formation energy = -0.086 eV per atom; crystal system = orthorhombic; energy above the lowest structure with this stoichiometry = 0.240 eV/atom
1.0
-2.211 2.969 3.922
2.211 -2.969 3.922
2.211 2.969 -3.922
Tl Pt Cl
2 1 1
direct
0.222 0.222 0.000 Tl
0.778 0.778 0.000 Tl
0.000 0.500 0.500 Pt
0.500 0.000 0.500 Cl

La2GaAu7 (PBE, optimized geometry); crystal system = tetragonal; DFT formation energy = -0.5386 eV per atom
1.0
4.126 0.000 0.000
0.000 4.126 0.000
0.000 0.000 13.190
La Ga Au
2 1 7
direct
0.000 0.500 0.248 La
0.500 0.000 0.752 La
0.500 0.500 0.000 Ga
0.000 0.000 0.000 Au
0.000 0.000 0.500 Au
0.000 0.500 0.649 Au
0.000 0.500 0.857 Au
0.500 0.000 0.143 Au
0.500 0.000 0.351 Au
0.500 0.500 0.500 Au